[1]
TmSn6Os | PBE | optimized geometry

The structure in extended XYZ format:
```
8
Lattice="-1.333 -5.038 4.483 -4.402 -4.755 -0.975 1.705 -5.510 -2.846" Properties=species:S:1:pos:R:3 pbc="T T T"
Tm 0.000 0.000 0.000
Sn -2.458 -9.434 1.256
Sn -0.683 -6.715 2.000
Sn -3.347 -8.589 -1.339
Sn -1.572 -5.870 -0.594
Sn -4.151 -7.067 2.510
Sn -1.584 -2.727 0.998
Os -2.868 -4.897 1.754
```

Output
volume = 25.714 A^3/atom
Fermi-level density of states = 3.85 states/eV/cell
formation energy = 0.2 eV/f.u.
space-group type = C2/m (12)


[2]
Na2SiGeTe4 | PBE | optimized geometry

The structure in extended XYZ format:
```
16
Lattice="6.657 0.000 0.000 0.000 8.430 0.000 0.000 0.000 10.189" Properties=species:S:1:pos:R:3 pbc="T T T"
Na 2.950 2.801 2.520
Na 2.950 2.801 7.668
Na 6.279 5.629 7.615
Na 6.279 5.629 2.574
Si 3.393 7.165 5.094
Si 0.064 1.265 0.000
Ge 6.507 1.596 5.094
Ge 3.179 6.834 0.000
Te 2.611 1.033 0.000
Te 5.939 7.397 5.094
Te 2.574 1.158 5.094
Te 5.903 7.272 0.000
Te 2.821 5.968 7.263
Te 6.150 2.462 2.168
Te 6.150 2.462 8.021
Te 2.821 5.968 2.926
```

Output
volume = 35.738 A^3/atom
space-group type = Pmn2_1 (31)


[3]
NaHf2RuSe | PBE | optimized geometry

The structure in extended XYZ format:
```
5
Lattice="4.943 0.000 0.000 0.000 4.466 0.000 0.000 0.000 4.943" Properties=species:S:1:pos:R:3 pbc="T T T"
Ru 0.000 2.233 0.000
Hf 0.000 0.000 2.471
Hf 2.471 0.000 0.000
Se 2.471 2.233 2.471
Na 0.000 0.000 0.000
```

Output
volume = 21.820 A^3/atom
Fermi-level density of states = 4.90 states/eV/cell
space-group type = P4/mmm (123)


no.,DFT total energy (eV per atom)
1,-4.939
2,-3.531
3,-5.203